[1]
{
  "formula": "Sc5Co24",
  "functional": "PBE-GGA",
  "state": "optimized geometry",
  "lattice": [[-4.476, 4.476, 4.476], [4.476, -4.476, 4.476], [4.476, 4.476, -4.476]],
  "species": ["Sc", "Sc", "Sc", "Sc", "Sc", "Co", "Co", "Co", "Co", "Co", "Co", "Co", "Co", "Co", "Co", "Co", "Co", "Co", "Co", "Co", "Co", "Co", "Co", "Co", "Co", "Co", "Co", "Co", "Co"],
  "frac_coords": [[0.000, 0.000, 0.000], [0.000, 0.000, 0.380], [0.000, 0.380, 0.000], [0.380, 0.000, 0.000], [0.620, 0.620, 0.620], [0.000, 0.328, 0.609], [0.000, 0.609, 0.328], [0.000, 0.624, 0.807], [0.000, 0.807, 0.624], [0.183, 0.376, 0.376], [0.193, 0.193, 0.817], [0.193, 0.817, 0.193], [0.281, 0.672, 0.672], [0.328, 0.000, 0.609], [0.328, 0.609, 0.000], [0.376, 0.183, 0.376], [0.376, 0.376, 0.183], [0.391, 0.391, 0.719], [0.391, 0.719, 0.391], [0.609, 0.000, 0.328], [0.609, 0.328, 0.000], [0.624, 0.000, 0.807], [0.624, 0.807, 0.000], [0.672, 0.281, 0.672], [0.672, 0.672, 0.281], [0.719, 0.391, 0.391], [0.807, 0.000, 0.624], [0.807, 0.624, 0.000], [0.817, 0.193, 0.193]],
  "ef_mev_per_atom": -124,
  "dft_energy_ev_per_atom": -7.096,
  "space_group": "No. 217"
}

[2]
{
  "formula": "KNaP2S",
  "functional": "PBE-GGA",
  "state": "optimized geometry",
  "lattice": [[6.103, 0.000, 0.000], [0.000, 6.103, 0.000], [0.000, 0.000, 5.810]],
  "species": ["K", "Na", "P", "P", "S"],
  "frac_coords": [[0.000, 0.000, 0.000], [0.500, 0.500, 0.500], [0.000, 0.500, 0.000], [0.500, 0.000, 0.000], [0.000, 0.000, 0.500]],
  "de_polymorph_ev_per_atom": 0.4484,
  "e_form_raw_ev_per_atom": 1.133,
  "dft_energy_ev_per_atom": -2.340,
  "space_group": "No. 123"
}